<one>
A plane-wave DFT calculation with PBEsol was carried out for crystalline AlN2Cl at its relaxed geometry.

Unit cell a=3.0422 b=3.0422 c=18.0835 alpha=90.00 beta=90.00 gamma=120.00
Last column: nearest neighbours and their distance in Å.
Space group R-3m (No. 166, hexagonal axes)
Inequivalent atoms, fractional coordinates:
Al (0.0000, 0.0000, 0.0000)  2 N 1.90
N (0.0000, 0.0000, 0.1052)  1 Al 1.90, 3 Cl 2.08
Cl (0.0000, 0.0000, 0.5000)  6 N 2.08

Calculated values
The crystal system is trigonal.



<two>
A plane-wave DFT calculation with PBEsol was carried out for crystalline AlN2Cl at its relaxed geometry.

Unit cell a=5.4924 b=5.4924 c=5.4924 alpha=90.00 beta=90.00 gamma=90.00
Last column: nearest neighbours and their distance in Å.
Space group Fm-3m (No. 225)
Inequivalent atoms, fractional coordinates:
Al (0.0000, 0.0000, 0.0000)  8 N 2.38
N (0.2500, 0.2500, 0.2500)  4 Cl 2.38, 4 Al 2.38
Cl (0.0000, 0.0000, 0.5000)  8 N 2.38

Calculated values
The crystal system is cubic.



Top of the stability list: <one>, leading by 115 meV per atom.



<one>
A plane-wave DFT calculation with PBEsol was carried out for crystalline AlSN2Cl at its relaxed geometry.

Unit cell a=3.5018 b=3.5018 c=6.1888 alpha=90.00 beta=90.00 gamma=90.00
Last column: nearest neighbours and their distance in Å.
Space group P4/mmm (No. 123)
Inequivalent atoms, fractional coordinates:
Al (0.0000, 0.0000, 0.0000)  4 S 2.48
S (0.5000, 0.5000, 0.0000)  4 Al 2.48
N (0.0000, 0.5000, 0.5000)  2 Cl 1.75
Cl (0.5000, 0.5000, 0.5000)  4 N 1.75

Calculated values
The crystal system is tetragonal.



<two>
A plane-wave DFT calculation with PBEsol was carried out for crystalline AlSN2Cl at its relaxed geometry.

Unit cell a=3.6558 b=3.6558 c=5.4613 alpha=90.00 beta=90.00 gamma=90.00
Last column: nearest neighbours and their distance in Å.
Space group P4/mmm (No. 123)
Inequivalent atoms, fractional coordinates:
Al (0.0000, 0.0000, 0.0000)  4 N 1.83
S (0.0000, 0.0000, 0.5000)  4 Cl 2.59, 2 Al 2.73
N (0.0000, 0.5000, 0.0000)  2 Al 1.83
Cl (0.5000, 0.5000, 0.5000)  4 S 2.59

Calculated values
The crystal system is tetragonal.



Top of the stability list: <two>, leading by 817 meV per atom.



<one>
A plane-wave DFT calculation with PBEsol was carried out for crystalline AlNi2Cl at its relaxed geometry.

Unit cell a=5.9008 b=5.9008 c=5.9008 alpha=90.00 beta=90.00 gamma=90.00
Last column: nearest neighbours and their distance in Å.
Space group Fm-3m (No. 225)
Inequivalent atoms, fractional coordinates:
Al (0.0000, 0.0000, 0.0000)  8 Ni 2.56
Ni (0.2500, 0.2500, 0.2500)  4 Al 2.56, 4 Cl 2.56
Cl (0.0000, 0.0000, 0.5000)  8 Ni 2.56

Calculated values
The crystal system is cubic.



<two>
A plane-wave DFT calculation with PBEsol was carried out for crystalline AlNi2Cl at its relaxed geometry.

Unit cell a=5.9415 b=5.9415 c=5.9415 alpha=90.00 beta=90.00 gamma=90.00
Last column: nearest neighbours and their distance in Å.
Space group F-43m (No. 216)
Inequivalent atoms, fractional coordinates:
Al (0.0000, 0.0000, 0.0000)  4 Cl 2.57, 4 Ni 2.57
Ni (0.0000, 0.0000, 0.5000)  4 Cl 2.57, 4 Ni 2.57
Ni (0.2500, 0.2500, 0.2500)  4 Ni 2.57, 4 Al 2.57
Cl (0.2500, 0.2500, 0.7500)  4 Ni 2.57, 4 Al 2.57

Calculated values
The crystal system is cubic.



Top of the stability list: <one>, leading by 160 meV per atom.



<one>
A plane-wave DFT calculation with PBEsol was carried out for crystalline AlOsCl2 at its relaxed geometry.

Unit cell a=6.2443 b=6.2443 c=6.2443 alpha=90.00 beta=90.00 gamma=90.00
Last column: nearest neighbours and their distance in Å.
Space group Fm-3m (No. 225)
Inequivalent atoms, fractional coordinates:
Al (0.0000, 0.0000, 0.0000)  8 Cl 2.70
Os (0.0000, 0.0000, 0.5000)  8 Cl 2.70
Cl (0.2500, 0.2500, 0.2500)  4 Os 2.70, 4 Al 2.70

Calculated values
The crystal system is cubic.



<two>
A plane-wave DFT calculation with PBEsol was carried out for crystalline AlOsCl2 at its relaxed geometry.

Unit cell a=6.2191 b=6.7714 c=2.9570 alpha=90.00 beta=90.00 gamma=90.00
Last column: nearest neighbours and their distance in Å.
Space group Cmmm (No. 65)
Inequivalent atoms, fractional coordinates:
Al (0.0000, 0.0000, 0.0000)  8 Cl 2.73, 2 Al 2.96
Os (0.0000, 0.5000, 0.0000)  8 Cl 2.73, 2 Os 2.96
Cl (0.2500, 0.2500, 0.5000)  4 Os 2.73, 4 Al 2.73, 2 Cl 2.96

Calculated values
The crystal system is orthorhombic.



<three>
A plane-wave DFT calculation with PBEsol was carried out for crystalline AlOsCl2 at its relaxed geometry.

Unit cell a=2.9659 b=5.5736 c=8.8293 alpha=90.00 beta=90.00 gamma=90.00
Last column: nearest neighbours and their distance in Å.
Space group Cmm2 (No. 35)
Inequivalent atoms, fractional coordinates:
Al (0.0000, 0.0000, 0.0000)  2 Cl 2.32, 2 Os 2.47
Os (0.0000, 0.5000, 0.7757)  2 Cl 2.36, 2 Al 2.47
Cl (0.0000, 0.0000, 0.5676)  2 Os 2.36
Cl (0.0000, 0.5000, 0.2022)  2 Al 2.32

Calculated values
The crystal system is orthorhombic.



Top of the stability list: <three>, leading by 953 meV per atom.